1.
RbSr2Hg2 GGA-PBE optimized geometry; total energy = -1.1590 eV/atom; formation enthalpy at 0 K = -0.1721 eV per atom; offset from the most stable computed form = 0.73 eV/f.u.
1.0
-3.149 5.291 0.308
-4.437 -2.436 -3.520
-6.788 -0.658 3.613
Sr Rb Hg
2 1 2
Direct
0.662 0.662 0.676
0.338 0.338 0.324
0.000 0.000 0.000
0.250 0.750 0.500
0.750 0.250 0.500

2.
SmGd2S4 GGA-PBE optimized geometry; total energy = -9.1071 eV/atom
1.0
7.313 -0.027 0.000
-2.486 6.877 0.000
-2.413 -3.425 5.993
Gd S Sm
4 8 2
Direct
0.758 0.875 0.383
0.625 0.242 0.117
0.125 0.508 0.883
0.492 0.375 0.617
0.232 0.128 0.752
0.018 0.270 0.396
0.520 0.768 0.896
0.378 0.982 0.252
0.730 0.125 0.748
0.875 0.622 0.604
0.375 0.480 0.248
0.872 0.625 0.104
0.000 0.000 0.000
0.250 0.750 0.500

3.
TaInFe2 GGA-PBE optimized geometry; total energy = -7.8152 eV/atom; formation enthalpy at 0 K = 0.0639 eV per atom
1.0
6.823 0.016 0.034
-2.689 3.325 -0.008
1.445 1.174 2.548
Fe Ta In
2 1 1
Direct
0.500 0.000 0.500
0.000 0.000 0.000
0.500 0.500 0.000
0.000 0.500 0.500

4.
Sc8C2O GGA-PBE optimized geometry; total energy = -7.4854 eV/atom
1.0
5.462 0.272 1.187
0.904 5.909 2.641
0.333 0.504 6.507
Sc C O
8 2 1
Direct
0.240 0.125 0.125
0.739 0.372 0.891
0.735 0.374 0.374
0.261 0.628 0.109
0.261 0.109 0.628
0.760 0.875 0.875
0.739 0.891 0.372
0.265 0.626 0.626
0.509 0.749 0.749
0.491 0.251 0.251
0.000 0.000 0.000

5.
Nb2ZnOs GGA-PBE optimized geometry; total energy = -7.7374 eV/atom; formation enthalpy at 0 K = 0.4234 eV per atom
1.0
7.421 0.000 0.000
0.000 7.421 0.000
3.710 3.710 2.674
Nb Os Zn
4 2 2
Direct
0.086 0.625 0.250
0.375 0.336 0.750
0.875 0.914 0.750
0.664 0.125 0.250
0.750 0.250 0.500
0.000 0.000 0.000
0.500 0.500 0.000
0.250 0.750 0.500

6.
CuH GGA-PBE optimized geometry; total energy = -3.5186 eV/atom
1.0
-1.341 1.908 1.230
2.968 -1.538 5.623
4.202 3.725 -1.198
H Cu
6 6
Direct
0.500 0.272 0.603
0.000 0.500 0.892
0.500 0.228 0.103
0.500 0.728 0.603
0.500 0.772 0.103
0.000 0.000 0.392
0.500 0.000 0.593
0.000 0.300 0.406
0.000 0.800 0.906
0.000 0.200 0.906
0.000 0.700 0.406
0.500 0.500 0.093

7.
TlSb2Pb GGA-PBE optimized geometry; total energy = -3.5209 eV/atom
1.0
6.497 -0.040 0.036
2.962 5.783 -0.036
-4.197 -3.748 3.248
Tl Sb Pb
1 2 1
Direct
0.513 0.513 0.000
0.975 0.975 0.000
0.775 0.275 0.500
0.237 0.737 0.500

8.
Sr2ReRu GGA-PBE optimized geometry; total energy = -5.1378 eV/atom; formation enthalpy at 0 K = 1.1341 eV per atom; offset from the most stable computed form = 2.61 eV/f.u.
1.0
2.982 0.000 0.000
0.000 2.982 0.000
0.000 0.000 9.932
Sr Re Ru
2 1 1
Direct
0.000 0.000 0.510
0.000 0.000 0.990
0.500 0.500 0.250
0.500 0.500 0.750

9.
Mg2CrNi3S8 GGA-PBE optimized geometry; total energy = -5.0925 eV/atom
1.0
7.054 -0.001 0.000
3.529 6.107 -0.017
3.527 2.052 5.754
Ni Cr S Mg
3 1 8 2
Direct
0.500 0.500 0.000
0.000 0.500 0.500
0.500 0.500 0.500
0.500 0.000 0.500
0.267 0.699 0.267
0.263 0.271 0.704
0.737 0.729 0.737
0.704 0.271 0.263
0.733 0.301 0.733
0.737 0.729 0.296
0.296 0.729 0.737
0.263 0.271 0.263
0.126 0.122 0.126
0.874 0.878 0.874

10.
RbTbZnBr6 GGA-PBE optimized geometry; total energy = -3.3746 eV/atom
1.0
7.131 0.001 0.000
3.566 6.175 0.000
0.001 -0.001 7.723
Br Rb Zn Tb
6 1 1 1
Direct
0.017 0.618 0.705
0.365 0.618 0.295
0.017 0.365 0.295
0.618 0.017 0.295
0.365 0.017 0.705
0.618 0.365 0.705
0.000 0.000 0.000
0.333 0.333 0.500
0.667 0.667 0.500

> Number 2 is which compound?

SmGd2S4